No. 1
DFT (GGA-PBE) results for a geometry-optimized Sr3SnHg12 structure.

Geometry as POSCAR:
```
Sr3SnHg12
1.0
4.899 0.000 0.000
0.000 4.899 0.000
0.000 0.000 18.599
Sr Sn Hg
3 1 12
Direct
0.000 0.000 0.000
0.000 0.000 0.262
0.000 0.000 0.738
0.000 0.000 0.500
0.000 0.500 0.129
0.000 0.500 0.385
0.000 0.500 0.615
0.000 0.500 0.871
0.500 0.000 0.129
0.500 0.000 0.385
0.500 0.000 0.615
0.500 0.000 0.871
0.500 0.500 0.000
0.500 0.500 0.259
0.500 0.500 0.500
0.500 0.500 0.741
```

- Calculated total energy: -1.0920 eV/atom
- Calculated formation energy: -0.3001 eV per atom
- Mass density: 10373 kg/m³



No. 2
DFT (GGA-PBE) results for a geometry-optimized Ac2MgGaTe5 structure.

Geometry as POSCAR:
```
Ac2MgGaTe5
1.0
2.355 -9.624 0.000
2.355 9.624 0.000
0.000 0.000 13.000
Ac Mg Ga Te
4 2 2 10
Direct
0.116 0.884 0.500
0.129 0.871 0.117
0.871 0.129 0.617
0.884 0.116 0.000
0.205 0.795 0.826
0.795 0.205 0.326
0.436 0.564 0.274
0.564 0.436 0.774
0.048 0.952 0.871
0.290 0.710 0.474
0.309 0.691 0.167
0.355 0.645 0.812
0.499 0.501 0.588
0.501 0.499 0.088
0.645 0.355 0.312
0.691 0.309 0.667
0.710 0.290 0.974
0.952 0.048 0.371
```

- Formation energy without anion corrections: -1.108 eV/atom
- Calculated total energy: -4.2800 eV/atom
- Mass density: 6683 kg/m³



No. 3
DFT (GGA-PBE) results for a geometry-optimized Hf6Zr8Sc structure.

Geometry as POSCAR:
```
Hf6Zr8Sc
1.0
8.450 0.000 0.000
-4.225 7.318 0.000
0.000 0.000 5.612
Hf Zr Sc
6 8 1
Direct
0.100 0.458 0.314
0.358 0.900 0.314
0.458 0.358 0.686
0.542 0.642 0.314
0.642 0.100 0.686
0.900 0.542 0.686
0.050 0.282 0.814
0.233 0.950 0.814
0.282 0.233 0.186
0.333 0.667 0.851
0.667 0.333 0.149
0.718 0.767 0.814
0.767 0.050 0.186
0.950 0.718 0.186
0.000 0.000 0.500
```

- Calculated total energy: -8.7875 eV/atom
- Calculated formation energy: 0.1749 eV per atom
- Mass density: 8833 kg/m³



No. 4
DFT (GGA-PBE) results for a geometry-optimized Pm2PdI2 structure.

Geometry as POSCAR:
```
Pm2PdI2
1.0
2.103 1.214 11.764
-2.103 1.214 11.764
0.000 -2.429 11.764
Pm Pd I
2 1 2
Direct
0.120 0.120 0.120
0.880 0.880 0.880
0.500 0.500 0.500
0.275 0.275 0.275
0.725 0.725 0.725
```

- Formation energy without anion corrections: -1.083 eV/atom
- Calculated total energy: -4.6420 eV/atom
- Mass density: 5988 kg/m³



No. 5
DFT (GGA-PBE) results for a geometry-optimized Y2VN structure.

Geometry as POSCAR:
```
Y2VN
1.0
-3.426 3.426 4.064
3.426 -3.426 4.064
3.426 3.426 -4.064
Y V N
4 2 2
Direct
0.025 0.625 0.900
0.375 0.275 0.400
0.725 0.125 0.100
0.875 0.975 0.600
0.250 0.750 0.500
0.500 0.500 0.000
0.000 0.000 0.000
0.750 0.250 0.500
```

- Formation energy without anion corrections: -0.077 eV/atom
- Calculated total energy: -7.6696 eV/atom
- Mass density: 4226 kg/m³



No. 6
DFT (GGA-PBE) results for a geometry-optimized NdYSb2 structure.

Geometry as POSCAR:
```
NdYSb2
1.0
2.231 1.288 7.271
-2.231 1.288 7.271
0.000 -2.576 7.271
Nd Y Sb
1 1 2
Direct
0.000 0.000 0.000
0.500 0.500 0.500
0.247 0.247 0.247
0.753 0.753 0.753
```

- Formation energy without anion corrections: -1.175 eV/atom
- Calculated total energy: -6.0440 eV/atom
- Mass density: 6313 kg/m³



No. 7
DFT (GGA-PBE) results for a geometry-optimized Ba3La2YTe6 structure.

Geometry as POSCAR:
```
Ba3La2YTe6
1.0
4.059 -7.022 0.000
4.059 7.022 0.000
-2.708 0.000 7.888
Ba La Y Te
3 2 1 6
Direct
0.000 0.000 0.000
0.330 0.670 0.000
0.670 0.330 0.000
0.166 0.834 0.500
0.834 0.166 0.500
0.500 0.500 0.500
0.102 0.426 0.277
0.252 0.252 0.726
0.426 0.102 0.277
0.574 0.898 0.723
0.748 0.748 0.274
0.898 0.574 0.723
```

- Formation energy without anion corrections: -1.615 eV/atom
- Calculated total energy: -5.0264 eV/atom
- Mass density: 5704 kg/m³



No. 8
DFT (GGA-PBE) results for a geometry-optimized CsSi2CCl structure.

Geometry as POSCAR:
```
CsSi2CCl
1.0
4.199 0.000 0.000
0.000 4.199 0.000
0.000 0.000 8.180
Cs Si C Cl
1 2 1 1
Direct
0.000 0.000 0.000
0.000 0.500 0.500
0.500 0.000 0.500
0.000 0.000 0.500
0.500 0.500 0.000
```

- Formation energy without anion corrections: 0.535 eV/atom
- Calculated total energy: -4.0192 eV/atom
- Mass density: 2724 kg/m³



No. 9
DFT (GGA-PBE) results for a geometry-optimized PrNd12Dy7 structure.

Geometry as POSCAR:
```
PrNd12Dy7
1.0
-5.805 5.805 5.805
5.805 -5.805 5.805
5.805 5.805 -5.805
Pr Nd Dy
1 12 7
Direct
0.000 0.000 0.000
0.002 0.747 0.255
0.253 0.255 0.508
0.253 0.745 0.998
0.255 0.002 0.747
0.255 0.508 0.253
0.492 0.747 0.745
0.508 0.253 0.255
0.745 0.492 0.747
0.745 0.998 0.253
0.747 0.255 0.002
0.747 0.745 0.492
0.998 0.253 0.745
0.000 0.000 0.500
0.000 0.500 0.000
0.000 0.500 0.500
0.500 0.000 0.000
0.500 0.000 0.500
0.500 0.500 0.000
0.500 0.500 0.500
```

- Calculated total energy: -4.0511 eV/atom
- Calculated formation energy: 0.6593 eV per atom
- Mass density: 6387 kg/m³



No. 10
DFT (GGA-PBE) results for a geometry-optimized Ho3InAg4S8 structure.

Geometry as POSCAR:
```
Ho3InAg4S8
1.0
7.001 -4.023 0.000
7.001 4.023 0.000
-4.894 0.000 7.530
Ho In Ag S
3 1 4 8
Direct
0.000 0.000 0.000
0.000 0.500 0.000
0.500 0.000 0.000
0.500 0.500 0.000
0.000 0.000 0.500
0.000 0.500 0.500
0.500 0.000 0.500
0.500 0.500 0.500
0.101 0.101 0.813
0.109 0.597 0.814
0.402 0.402 0.187
0.403 0.891 0.186
0.597 0.109 0.814
0.598 0.598 0.813
0.891 0.403 0.186
0.899 0.899 0.187
```

- Formation energy without anion corrections: -1.058 eV/atom
- Calculated total energy: -4.8643 eV/atom
- Mass density: 5080 kg/m³